DFT (meta-GGA SCAN) results for a crystal of ScAsSe relaxed with PBEsol.

## Properties
The space-group type is P-6m2 (187). The formation energy without anion corrections comes out at -2.0 eV per formula unit.

a b c (Å): 4.4682 4.4682 3.5030
angles (deg): 90.00 90.00 120.00
Fractional coordinates of all 3 atoms:
Sc  0.0000  0.0000  0.0000
As  0.3333  0.6667  0.5000
Se  0.6667  0.3333  0.0000

DFT (meta-GGA SCAN) results for a crystal of ScSnAs2Se relaxed with PBEsol.

## Properties
The space-group type is P4/mmm (123). The formation energy without anion corrections comes out at -0.1 eV per formula unit.

a b c (Å): 5.0535 5.0535 5.0328
angles (deg): 90.00 90.00 90.00
Fractional coordinates of all 5 atoms:
Sc  0.0000  0.0000  0.0000
Sn  0.5000  0.5000  0.5000
As  0.0000  0.5000  0.0000
As  0.5000  0.0000  0.0000
Se  0.0000  0.0000  0.5000

DFT (meta-GGA SCAN) results for a crystal of SrScAs2Se relaxed with PBEsol.

## Properties
The space-group type is P4/mmm (123). The formation energy without anion corrections comes out at -4.4 eV per formula unit.

a b c (Å): 5.0660 5.0660 5.1370
angles (deg): 90.00 90.00 90.00
Fractional coordinates of all 5 atoms:
Sr  0.0000  0.0000  0.0000
Sc  0.5000  0.5000  0.5000
As  0.0000  0.5000  0.5000
As  0.5000  0.0000  0.5000
Se  0.5000  0.5000  0.0000

DFT (meta-GGA SCAN) results for a crystal of ScTeAs2Se relaxed with PBEsol.

## Properties
The space-group type is P4/mmm (123). The formation energy without anion corrections comes out at 0.7 eV per formula unit.

a b c (Å): 5.1359 5.1359 4.8814
angles (deg): 90.00 90.00 90.00
Fractional coordinates of all 5 atoms:
Sc  0.0000  0.0000  0.0000
Te  0.5000  0.5000  0.5000
As  0.0000  0.5000  0.0000
As  0.5000  0.0000  0.0000
Se  0.0000  0.0000  0.5000

DFT (meta-GGA SCAN) results for a crystal of ScAsWSe2 relaxed with PBEsol.

## Properties
The space-group type is P4/mmm (123). The formation energy without anion corrections comes out at 4.2 eV per formula unit.

a b c (Å): 4.9182 4.9182 4.9826
angles (deg): 90.00 90.00 90.00
Fractional coordinates of all 5 atoms:
Sc  0.0000  0.0000  0.0000
As  0.0000  0.0000  0.5000
W  0.5000  0.5000  0.5000
Se  0.0000  0.5000  0.0000
Se  0.5000  0.0000  0.0000

DFT (meta-GGA SCAN) results for a crystal of ScAs2WSe relaxed with PBEsol.

## Properties
The space-group type is P4/mmm (123). The formation energy without anion corrections comes out at 5.3 eV per formula unit.

a b c (Å): 4.9106 4.9106 4.9178
angles (deg): 90.00 90.00 90.00
Fractional coordinates of all 5 atoms:
Sc  0.0000  0.0000  0.0000
As  0.0000  0.5000  0.0000
As  0.5000  0.0000  0.0000
W  0.5000  0.5000  0.5000
Se  0.0000  0.0000  0.5000

DFT (meta-GGA SCAN) results for a crystal of ScSiAs2 relaxed with PBEsol.

## Properties
The space-group type is P4/mmm (123). The formation energy without anion corrections comes out at -1.4 eV per formula unit.

a b c (Å): 3.6065 3.6065 5.4171
angles (deg): 90.00 90.00 90.00
Fractional coordinates of all 4 atoms:
Sc  0.0000  0.0000  0.0000
Si  0.0000  0.0000  0.5000
As  0.5000  0.5000  0.2512
As  0.5000  0.5000  0.7488

DFT (meta-GGA SCAN) results for a crystal of Sc2SiAs relaxed with PBEsol.

## Properties
The space-group type is I-42d (122). The formation energy without anion corrections comes out at -2.7 eV per formula unit.

a b c (Å): 5.8932 5.8932 5.8932
angles (deg): 105.37 105.37 118.03
Fractional coordinates of all 8 atoms:
Sc  0.1227  0.1250  0.4977
Sc  0.3750  0.8773  0.0023
Sc  0.6273  0.6250  0.5023
Sc  0.8750  0.3727  0.9977
Si  0.2500  0.7500  0.5000
Si  0.5000  0.5000  0.0000
As  0.0000  0.0000  0.0000
As  0.7500  0.2500  0.5000

DFT (meta-GGA SCAN) results for a crystal of ScSiAs2 relaxed with PBEsol.

## Properties
The space-group type is P4/mmm (123). The formation energy without anion corrections comes out at -1.1 eV per formula unit.

a b c (Å): 4.4649 4.4649 3.4797
angles (deg): 90.00 90.00 90.00
Fractional coordinates of all 4 atoms:
Sc  0.0000  0.0000  0.0000
Si  0.5000  0.5000  0.0000
As  0.0000  0.5000  0.5000
As  0.5000  0.0000  0.5000

DFT (meta-GGA SCAN) results for a crystal of ScSiAs2 relaxed with PBEsol.

## Properties
The space-group type is P2/m (10). The formation energy without anion corrections comes out at -1.4 eV per formula unit.

a b c (Å): 3.6115 3.6538 5.4957
angles (deg): 90.00 102.30 90.00
Fractional coordinates of all 4 atoms:
Sc  0.0000  0.0000  0.0000
Si  0.0000  0.0000  0.5000
As  0.4640  0.5000  0.7518
As  0.5360  0.5000  0.2482

DFT (meta-GGA SCAN) results for a crystal of ScSn3As relaxed with PBEsol.

## Properties
The calculation puts the energy of formation from the pure elements at 0.557 eV/atom. The space-group type is Pm-3m (221).

a b c (Å): 5.2242 5.2242 5.2242
angles (deg): 90.00 90.00 90.00
Fractional coordinates of all 5 atoms:
Sc  0.0000  0.0000  0.0000
Sn  0.0000  0.5000  0.5000
Sn  0.5000  0.0000  0.5000
Sn  0.5000  0.5000  0.0000
As  0.5000  0.5000  0.5000

DFT (meta-GGA SCAN) results for a crystal of SrSc2As relaxed with PBEsol.

## Properties
The calculation puts the energy of formation from the pure elements at -0.415 eV/atom. The space-group type is Cmmm (65).

a b c (Å): 3.4857 3.4857 8.6341
angles (deg): 90.00 90.00 90.16
Fractional coordinates of all 4 atoms:
Sr  0.0000  0.0000  0.0000
Sc  0.5000  0.5000  0.3359
Sc  0.5000  0.5000  0.6641
As  0.0000  0.0000  0.5000